First-principles (PBE with a Hubbard U) data for a relaxed MnOF2 crystal, as listed in the Alexandria database.

Computed properties:
N(E_F) = 3.77 states/eV per cell
DFT total energy = -3.970 eV per atom

Cell and atoms, written as CIF:
```
data_MnOF2
_chemical_formula_sum 'Mn3 O3 F6'
_space_group_name_H-M_alt 'R -3 m'
_space_group_IT_number 166
_space_group_name_Hall '-R 3 2"'
_cell_length_a 2.9092
_cell_length_b 2.9092
_cell_length_c 25.1118
_cell_angle_alpha 90.00
_cell_angle_beta 90.00
_cell_angle_gamma 120.00
loop_
_atom_site_label
_atom_site_fract_x
_atom_site_fract_y
_atom_site_fract_z
Mn1 0.0000 0.0000 0.0000
O1 0.0000 0.0000 0.5000
F1 0.0000 0.0000 0.0692
```